# Y2TaIr (PBE-GGA, optimized geometry)
data_Y2TaIr
_chemical_formula_sum 'Y8 Ta4 Ir4'
_space_group_name_H-M_alt 'F -4 3 m'
_space_group_IT_number 216
_space_group_name_Hall 'F -4 2 3'
_cell_length_a 6.910
_cell_length_b 6.910
_cell_length_c 6.910
_cell_angle_alpha 90.00
_cell_angle_beta 90.00
_cell_angle_gamma 90.00
loop_
_atom_site_label
_atom_site_type_symbol
_atom_site_fract_x
_atom_site_fract_y
_atom_site_fract_z
_atom_site_occupancy
Y1 Y 0.000 0.000 0.000 1
Y2 Y 0.250 0.250 0.250 1
Ta1 Ta 0.000 0.000 0.500 1
Ir1 Ir 0.250 0.250 0.750 1
# size of the total moment	0.0	μB/cell
# polymorph energy (0 for the lowest one)	0.3148	eV/atom
# calculated formation energy	0.07	eV per atom
# final energy	-8.3377	eV/atom



# TlOs5 (PBE-GGA, optimized geometry)
data_TlOs5
_chemical_formula_sum 'Tl2 Os10'
_space_group_name_H-M_alt 'C m m m'
_space_group_IT_number 65
_space_group_name_Hall '-C 2 2'
_cell_length_a 3.941
_cell_length_b 12.104
_cell_length_c 3.943
_cell_angle_alpha 90.00
_cell_angle_beta 90.00
_cell_angle_gamma 90.00
loop_
_atom_site_label
_atom_site_type_symbol
_atom_site_fract_x
_atom_site_fract_y
_atom_site_fract_z
_atom_site_occupancy
Tl1 Tl 0.000 0.000 0.000 1
Os1 Os 0.000 0.179 0.500 1
Os2 Os 0.000 0.320 0.000 1
Os3 Os 0.000 0.500 0.500 1
# size of the total moment	0.0	μB/cell
# polymorph energy (0 for the lowest one)	0.1274	eV/atom
# calculated formation energy	0.62	eV per atom
# final energy	-9.1338	eV/atom



# LiCaS (PBE-GGA, optimized geometry)
data_LiCaS
_chemical_formula_sum 'Li6 Ca6 S6'
_space_group_name_H-M_alt 'R -3 m'
_space_group_IT_number 166
_space_group_name_Hall '-R 3 2"'
_cell_length_a 4.7324
_cell_length_b 4.7324
_cell_length_c 26.4375
_cell_angle_alpha 90.00
_cell_angle_beta 90.00
_cell_angle_gamma 120.00
loop_
_atom_site_label
_atom_site_type_symbol
_atom_site_fract_x
_atom_site_fract_y
_atom_site_fract_z
_atom_site_occupancy
Li1 Li 0.0000 0.0000 0.1926 1
Ca1 Ca 0.0000 0.0000 0.3882 1
S1 S 0.0000 0.0000 0.2816 1
# size of the total moment	0.0	μB/cell
# polymorph energy (0 for the lowest one)	0.0000	eV/atom
# raw formation energy	-1212	meV/atom
# final energy	-3.8928	eV/atom



# La5Pm12Sm (PBE-GGA, optimized geometry)
data_La5Pm12Sm
_chemical_formula_sum 'La10 Pm24 Sm2'
_space_group_name_H-M_alt 'C 1 2/m 1'
_space_group_IT_number 12
_cell_length_a 11.870
_cell_length_b 17.650
_cell_length_c 6.098
_cell_angle_alpha 90.00
_cell_angle_beta 90.17
_cell_angle_gamma 90.00
loop_
_space_group_symop_operation_xyz
'x,y,z'
'-x,-y,-z'
'-x,y,-z'
'x,-y,z'
'x+1/2,y+1/2,z'
'-x+1/2,-y+1/2,-z'
'-x+1/2,y+1/2,-z'
'x+1/2,-y+1/2,z'
loop_
_atom_site_label
_atom_site_type_symbol
_atom_site_fract_x
_atom_site_fract_y
_atom_site_fract_z
_atom_site_occupancy
La1 La 0.000 0.000 0.000 1
La2 La 0.000 0.166 0.500 1
La3 La 0.000 0.334 0.000 1
Pm1 Pm 0.178 0.334 0.553 1
Pm2 Pm 0.178 0.500 0.941 1
Pm3 Pm 0.179 0.166 0.946 1
Pm4 Pm 0.182 0.000 0.559 1
Sm1 Sm 0.000 0.500 0.500 1
# size of the total moment	0.0	μB/cell
# calculated formation energy	0.09	eV per atom
# final energy	-4.7115	eV/atom



# NaBi2F8 (PBE-GGA, optimized geometry)
data_NaBi2F8
_chemical_formula_sum 'Na1 Bi2 F8'
_space_group_name_H-M_alt 'P -3 m 1'
_space_group_IT_number 164
_space_group_name_Hall '-P 3 2"'
_cell_length_a 7.3123
_cell_length_b 7.3123
_cell_length_c 4.5357
_cell_angle_alpha 90.00
_cell_angle_beta 90.00
_cell_angle_gamma 120.00
loop_
_atom_site_label
_atom_site_type_symbol
_atom_site_fract_x
_atom_site_fract_y
_atom_site_fract_z
_atom_site_occupancy
Na1 Na 0.0000 0.0000 0.0000 1
Bi1 Bi 0.3333 0.6667 0.2482 1
F1 F 0.1661 0.3322 0.2429 1
F2 F 0.3333 0.6667 0.7480 1
# size of the total moment	0.0	μB/cell
# polymorph energy (0 for the lowest one)	0.0675	eV/atom
# raw formation energy	-2212	meV/atom
# final energy	-4.3983	eV/atom



# CdCu2IrO6 (PBE-GGA, optimized geometry)
data_CdCu2IrO6
_chemical_formula_sum 'Cd3 Cu6 Ir3 O18'
_space_group_name_H-M_alt 'R 3'
_space_group_IT_number 146
_space_group_name_Hall 'R 3'
_cell_length_a 5.3703
_cell_length_b 5.3703
_cell_length_c 14.1420
_cell_angle_alpha 90.00
_cell_angle_beta 90.00
_cell_angle_gamma 120.00
loop_
_atom_site_label
_atom_site_type_symbol
_atom_site_fract_x
_atom_site_fract_y
_atom_site_fract_z
_atom_site_occupancy
Cd1 Cd 0.0000 0.0000 0.0000 1
Cu1 Cu 0.0000 0.0000 0.2875 1
Cu2 Cu 0.0000 0.0000 0.7465 1
Ir1 Ir 0.0000 0.0000 0.5014 1
O1 O 0.0190 0.2917 0.4129 1
O2 O 0.0362 0.6757 0.2410 1
# size of the total moment	0.0	μB/cell
# raw formation energy	-599	meV/atom
# final energy	-5.3713	eV/atom